## Pb4ICl2 (GGA-PBE)

Data for an optimized crystal structure of Pb4ICl2.

raw total energy = -2.803 eV per atom
E_form (uncorrected) = 0.065 eV/atom

a b c (Å): 6.082 6.082 15.368
angles (deg): 90.00 90.00 90.00
Space group I4/mmm (No. 139)
Unique sites:
Pb: 0.000 0.000 0.225 [4 per cell]
Pb: 0.000 0.500 0.000 [4 per cell]
I: 0.000 0.000 0.000 [2 per cell]
Cl: 0.000 0.000 0.402 [4 per cell]